(1)
MgZr2Pt after structural relaxation. Source: Alexandria, functional GGA-PBEsol.

Total DFT energy (no corrections), eV per atom: -7.222
Formation energy, meV/atom: -507
SG: P4mm (99)

a = 3.308 Å, b = 3.308 Å, c = 7.184 Å
α = 90.00°, β = 90.00°, γ = 90.00°
Positions (direct):
Mg (0.000, 0.000, 0.538)
Pt (0.500, 0.500, 0.753)
Zr (0.000, 0.000, 0.964)
Zr (0.500, 0.500, 0.245)

(2)
MgZr2Pt after structural relaxation. Source: Alexandria, functional GGA-PBEsol.

Total DFT energy (no corrections), eV per atom: -7.132
Formation energy, meV/atom: -417
SG: Pmmm (47)

a = 3.203 Å, b = 4.058 Å, c = 5.859 Å
α = 90.00°, β = 90.00°, γ = 90.00°
Positions (direct):
Mg (0.500, 0.500, 0.000)
Pt (0.500, 0.500, 0.500)
Zr (0.000, 0.000, 0.734)
Zr (0.000, 0.000, 0.266)

(3)
MgZr2Pt after structural relaxation. Source: Alexandria, functional GGA-PBEsol.

Total DFT energy (no corrections), eV per atom: -6.935
Formation energy, meV/atom: -219
SG: R-3m (166)

a = 3.039 Å, b = 3.039 Å, c = 10.086 Å
α = 81.33°, β = 81.33°, γ = 60.00°
Positions (direct):
Mg (0.500, 0.500, 0.500)
Pt (0.000, 0.000, 0.000)
Zr (0.258, 0.258, 0.227)
Zr (0.742, 0.742, 0.773)

(4)
Rb2Mg3 after structural relaxation. Source: Alexandria, functional GGA-PBEsol.

Total DFT energy (no corrections), eV per atom: -1.092
Formation energy, meV/atom: 348
SG: R-3m (166)

a = 3.768 Å, b = 3.768 Å, c = 15.572 Å
α = 83.05°, β = 83.05°, γ = 60.00°
Positions (direct):
Mg (0.000, 0.000, 0.000)
Mg (0.191, 0.191, 0.426)
Mg (0.809, 0.809, 0.574)
Rb (0.405, 0.405, 0.786)
Rb (0.595, 0.595, 0.214)

Among the records above, which one has the highest formation energy?
Rb2Mg3